Entry 1:
The following is a DFT calculation (PBE-GGA) of a geometry-optimized AlFe2C structure.

Output
crystal system = trigonal
calculated formation energy = -73 meV/atom
space group = No. 166
calculated density = 5.899 Mg/m³

Geometry as POSCAR:
```
AlFe2C
1.0
-2.341 1.426 -0.607
-1.592 -0.777 -2.178
-4.567 -3.547 2.794
C Al Fe
1 1 2
Cartesian
0.000 0.000 0.000
-4.250 -1.449 0.005
-6.644 -2.484 0.314
-1.856 -0.414 -0.305
```

Entry 2:
The following is a DFT calculation (PBE-GGA) of a geometry-optimized TlRuPbF6 structure.

Output
crystal system = trigonal
space group = No. 163
formation energy (no corrections) = -1883 meV/atom
calculated density = 5.899 Mg/m³

Geometry as POSCAR:
```
TlRuPbF6
1.0
6.227 0.000 0.000
-3.113 5.393 0.000
0.000 0.000 10.507
F Ru Pb Tl
12 2 2 2
Cartesian
2.309 0.292 1.520
1.407 1.854 3.734
4.819 1.854 1.520
-0.902 2.146 6.774
4.015 3.247 3.734
-1.706 3.538 8.987
2.211 3.247 1.520
1.706 3.538 6.774
0.902 2.146 8.987
-0.804 5.101 6.774
3.917 0.292 3.734
0.804 5.101 8.987
0.000 3.595 7.880
3.113 1.798 2.627
3.113 1.798 7.880
0.000 3.595 2.627
0.000 0.000 0.000
0.000 0.000 5.254
```

Entry 3:
The following is a DFT calculation (PBE-GGA) of a geometry-optimized YFe2Br structure.

Output
crystal system = orthorhombic
space group = No. 38
formation energy (no corrections) = -67 meV/atom
calculated density = 5.893 Mg/m³

Geometry as POSCAR:
```
YFe2Br
1.0
-3.148 0.066 0.822
-0.831 -0.699 -3.125
-0.164 -7.523 -0.019
Y Fe Br
1 2 1
Cartesian
-0.557 -3.936 -1.815
-0.656 -1.110 -2.422
-1.781 -1.696 -0.241
-2.477 -6.225 -2.542
```

Entry 4:
The following is a DFT calculation (PBE-GGA) of a geometry-optimized CdNiMo3 structure.

Output
crystal system = cubic
calculated formation energy = 2843 meV/atom
space group = No. 221
calculated density = 6.816 Mg/m³

Geometry as POSCAR:
```
CdNiMo3
1.0
-1.362 2.621 3.806
3.101 -2.424 2.779
3.426 3.235 -1.001
Ni Mo Cd
1 3 1
Cartesian
2.582 1.716 2.792
1.713 1.618 -0.501
-0.681 1.310 1.903
1.550 -1.212 1.389
0.000 0.000 0.000
```

Entry 5:
The following is a DFT calculation (PBE-GGA) of a geometry-optimized LiTl2Pt2 structure.

Output
crystal system = tetragonal
calculated formation energy = -188 meV/atom
space group = No. 127
calculated density = 13.463 Mg/m³

Geometry as POSCAR:
```
LiTl2Pt2
1.0
-6.830 -1.132 -1.713
2.008 -2.440 -6.394
0.235 -3.620 1.455
Li Pt Tl
2 4 4
Cartesian
-2.411 -1.786 -4.053
0.000 0.000 0.000
-0.746 -2.516 -6.139
-4.614 -2.531 -5.552
-4.076 -1.056 -1.968
-0.208 -1.041 -2.555
-4.898 -3.562 -2.821
-2.774 -4.596 -5.736
0.311 -3.630 -3.831
-1.813 -2.596 -0.915
```

Entry 6:
The following is a DFT calculation (PBE-GGA) of a geometry-optimized Ca2CeOsO8 structure.

Output
crystal system = monoclinic
space group = No. 10
formation energy (no corrections) = -2226 meV/atom
calculated density = 5.043 Mg/m³

Geometry as POSCAR:
```
Ca2CeOsO8
1.0
5.086 -0.113 -0.003
-0.097 5.073 -0.006
0.004 0.008 6.876
O Ca Os Ce
8 2 1 1
Cartesian
1.449 1.433 3.436
4.178 0.810 1.368
3.667 3.657 -0.006
0.812 4.152 1.366
0.815 4.157 5.500
3.544 3.534 3.432
4.180 0.815 5.502
1.325 1.310 6.874
2.497 2.485 5.179
2.495 2.481 1.688
0.000 0.000 0.000
0.002 0.004 3.438
```

Entry 7:
The following is a DFT calculation (PBE-GGA) of a geometry-optimized Pu2Br2F3 structure.

Output
crystal system = monoclinic
space group = No. 12
formation energy (no corrections) = -2670 meV/atom
calculated density = 8.220 Mg/m³

Geometry as POSCAR:
```
Pu2Br2F3
1.0
3.950 0.000 0.000
-1.975 5.049 -2.164
0.000 -0.427 7.322
F Pu Br
3 2 2
Cartesian
0.000 3.155 2.774
1.975 0.000 0.000
1.975 1.467 2.385
0.000 1.449 0.999
1.975 3.173 4.160
1.975 3.633 -0.011
0.000 0.989 5.169
```

Entry 8:
The following is a DFT calculation (PBE-GGA) of a geometry-optimized PrMgCu2O6 structure.

Output
crystal system = orthorhombic
space group = No. 31
formation energy (no corrections) = -1511 meV/atom
calculated density = 5.966 Mg/m³

Geometry as POSCAR:
```
PrMgCu2O6
1.0
5.252 0.000 0.000
0.000 5.458 0.000
0.000 0.000 7.541
O Cu Mg Pr
12 4 2 2
Cartesian
4.248 3.013 2.311
1.938 3.978 3.771
1.210 5.379 6.081
3.836 0.079 5.231
1.622 2.444 6.082
0.388 1.089 3.771
1.622 2.444 1.460
4.563 1.480 0.000
1.210 5.379 1.461
3.014 4.369 0.000
3.836 0.079 2.310
4.248 3.013 5.230
2.621 4.102 1.900
5.247 1.356 1.871
2.621 4.102 5.641
5.247 1.356 5.670
5.101 4.447 3.771
2.475 1.011 0.000
2.685 1.618 3.771
0.059 3.840 0.000
```